# 1
# BeZn2As2H2 | Alexandria via LeMat-Bulk | GGA-PBE | relaxed
data_BeZn2As2H2
_chemical_formula_sum 'Be1 Zn2 As2 H2'
_space_group_name_H-M_alt 'P -1'
_space_group_IT_number 2
_cell_length_a 4.266
_cell_length_b 5.406
_cell_length_c 5.481
_cell_angle_alpha 114.06
_cell_angle_beta 99.30
_cell_angle_gamma 95.42
loop_
_space_group_symop_operation_xyz
'x,y,z'
'-x,-y,-z'
loop_
_atom_site_label
_atom_site_fract_x
_atom_site_fract_y
_atom_site_fract_z
Be1 0.000 0.000 0.000
Zn1 0.444 0.599 0.323
As1 0.042 0.200 0.727
H1 0.383 0.264 0.286
# Total DFT energy (no corrections) in eV per atom: -3.06

***

# 2
# YTc2PbC | Alexandria via LeMat-Bulk | GGA-PBE | relaxed
data_YTc2PbC
_chemical_formula_sum 'Y1 Tc2 Pb1 C1'
_space_group_name_H-M_alt 'P 4/m m m'
_space_group_IT_number 123
_space_group_name_Hall '-P 4 2'
_cell_length_a 5.186
_cell_length_b 5.186
_cell_length_c 4.386
_cell_angle_alpha 90.00
_cell_angle_beta 90.00
_cell_angle_gamma 90.00
loop_
_atom_site_label
_atom_site_fract_x
_atom_site_fract_y
_atom_site_fract_z
Y1 0.000 0.000 0.000
Tc1 0.000 0.500 0.000
Pb1 0.500 0.500 0.500
C1 0.000 0.000 0.500
# Total DFT energy (no corrections) in eV per atom: -5.77